Entry from the Alexandria database: an optimized crystal structure of CaHfZn17 (PBE).

Computed properties:
Calculated volume in Å³ per cell: 300.7
Space-group type: R3m
DFT total energy in eV/cell: -35.99
Total moment in μB per formula unit: 0.000
Energy of formation in kJ/mol of formula units: -229

Lattice parameters (Å, degrees): 6.7516 6.7516 6.7516 82.62 82.62 82.62
Element x y z (fractional)
Zn 0.6374 0.1792 0.6374
Zn 0.1052 0.1052 0.1052
Zn 0.6978 0.0027 0.2978
Zn 0.5081 0.9921 0.9921
Zn 0.9049 0.9049 0.9049
Zn 0.1792 0.6374 0.6374
Zn 0.2978 0.0027 0.6978
Zn 0.0027 0.6978 0.2978
Zn 0.8550 0.3487 0.3487
Zn 0.3487 0.8550 0.3487
Zn 0.3487 0.3487 0.8550
Zn 0.9921 0.5081 0.9921
Zn 0.6978 0.2978 0.0027
Zn 0.9921 0.9921 0.5081
Zn 0.6374 0.6374 0.1792
Zn 0.0027 0.2978 0.6978
Zn 0.2978 0.6978 0.0027
Hf 0.3306 0.3306 0.3306
Ca 0.6641 0.6641 0.6641